TaZn: optimized geometry, PBEsol.

Computed properties:
Total DFT energy (no corrections) (eV per atom): -5.644
DOS at the Fermi energy (states/eV/cell): 5.98
Energy relative to the elements (eV/atom): 1.422
Symmetry: P6_3/mmc

```
TaZn
1.0
4.349 0.000 0.000
-2.174 3.766 0.000
0.000 0.000 5.073
Ta Zn
2 2
Cartesian
0.000 2.511 1.268
2.174 1.255 3.805
0.000 2.511 3.805
2.174 1.255 1.268
```

Ta3Zn: optimized geometry, PBEsol.

Computed properties:
Total DFT energy (no corrections) (eV per atom): -7.200
DOS at the Fermi energy (states/eV/cell): 10.28
Energy relative to the elements (eV/atom): 2.609
Symmetry: Pm-3m

```
Ta3Zn
1.0
4.690 0.000 0.000
0.000 4.690 0.000
0.000 0.000 4.690
Ta Zn
3 1
Cartesian
0.000 0.000 2.345
0.000 2.345 0.000
2.345 0.000 0.000
0.000 0.000 0.000
```

Ta2Zn3: optimized geometry, PBEsol.

Computed properties:
Total DFT energy (no corrections) (eV per atom): -5.835
DOS at the Fermi energy (states/eV/cell): 10.52
Energy relative to the elements (eV/atom): 0.135
Symmetry: R-3m

```
Ta2Zn3
1.0
2.825 0.000 0.000
-1.412 2.446 0.000
0.000 0.000 34.296
Ta Zn
6 9
Cartesian
0.000 0.000 3.390
0.000 0.000 30.906
0.000 1.631 19.474
0.000 1.631 26.254
1.412 0.815 8.042
1.412 0.815 14.822
0.000 0.000 10.364
0.000 0.000 17.148
0.000 0.000 23.932
0.000 1.631 5.716
0.000 1.631 12.500
0.000 1.631 33.229
1.412 0.815 1.068
1.412 0.815 21.796
1.412 0.815 28.580
```

TaZn: optimized geometry, PBEsol.

Computed properties:
Total DFT energy (no corrections) (eV per atom): -6.935
DOS at the Fermi energy (states/eV/cell): 8.46
Energy relative to the elements (eV/atom): 0.131
Symmetry: R-3m

```
TaZn
1.0
2.838 0.000 0.000
-1.419 2.458 0.000
0.000 0.000 27.876
Ta Zn
6 6
Cartesian
0.000 0.000 3.373
0.000 0.000 24.503
0.000 1.639 15.211
0.000 1.639 21.956
1.419 0.819 5.919
1.419 0.819 12.664
0.000 0.000 10.338
0.000 0.000 17.538
0.000 1.639 1.046
0.000 1.639 8.246
1.419 0.819 19.630
1.419 0.819 26.830
```

TaZn: optimized geometry, PBEsol.

Computed properties:
Total DFT energy (no corrections) (eV per atom): -6.904
DOS at the Fermi energy (states/eV/cell): 5.35
Energy relative to the elements (eV/atom): 0.162
Symmetry: R-3m

```
TaZn
1.0
2.834 0.000 0.000
-1.417 2.455 0.000
0.000 0.000 13.947
Ta Zn
3 3
Cartesian
0.000 0.000 0.000
0.000 1.636 9.298
1.417 0.818 4.649
0.000 0.000 6.973
0.000 1.636 2.324
1.417 0.818 11.622
```

Ta4Zn5: optimized geometry, PBEsol.

Computed properties:
Total DFT energy (no corrections) (eV per atom): -6.502
DOS at the Fermi energy (states/eV/cell): 4.30
Energy relative to the elements (eV/atom): -0.044
Symmetry: I4/mmm

```
Ta4Zn5
1.0
-4.523 4.523 1.726
4.523 -4.523 1.726
4.523 4.523 -1.726
Ta Zn
4 5
Cartesian
2.982 0.000 0.000
6.063 0.000 0.000
0.000 2.982 0.000
0.000 6.063 0.000
0.000 0.000 0.000
2.982 2.982 0.000
1.541 -1.541 1.726
-1.541 1.541 1.726
1.541 1.541 1.726
```

Ta3Zn2: optimized geometry, PBEsol.

Computed properties:
Total DFT energy (no corrections) (eV per atom): -7.994
DOS at the Fermi energy (states/eV/cell): 13.19
Energy relative to the elements (eV/atom): 0.169
Symmetry: R-3m

```
Ta3Zn2
1.0
2.846 0.000 0.000
-1.423 2.465 0.000
0.000 0.000 35.456
Ta Zn
9 6
Cartesian
0.000 0.000 0.000
0.000 0.000 7.178
0.000 0.000 28.277
0.000 1.643 16.459
0.000 1.643 23.637
0.000 1.643 30.816
1.423 0.822 4.640
1.423 0.822 11.819
1.423 0.822 18.997
0.000 0.000 14.135
0.000 0.000 21.321
0.000 1.643 2.316
0.000 1.643 9.502
1.423 0.822 25.953
1.423 0.822 33.140
```

Ta3Zn: optimized geometry, PBEsol.

Computed properties:
Total DFT energy (no corrections) (eV per atom): -9.803
DOS at the Fermi energy (states/eV/cell): 3.31
Energy relative to the elements (eV/atom): 0.006
Symmetry: P4/mmm

```
Ta3Zn
1.0
3.336 0.000 0.000
0.000 3.336 0.000
0.000 0.000 5.978
Ta Zn
3 1
Cartesian
0.000 0.000 0.000
1.668 1.668 1.522
1.668 1.668 4.456
0.000 0.000 2.989
```